The following is a PBE calculation of a relaxed Li2CrP crystal, from Alexandria via LeMat-Bulk.

Lattice parameters (Å, degrees): 3.576 3.574 4.198 90.05 90.00 90.00
Site moments in Bohr magnetons follow the coordinates.
Atoms (fractional coordinates):
Cr1 0.500 0.875 0.625  3.07
Li1 0.000 0.875 0.125  -0.01
Li2 0.500 0.375 0.125  -0.01
P1 0.000 0.375 0.625  -0.09

## Properties
For the energy of formation, the calculation gives -20.4 kJ/mol of atoms. Its space group is P4/mmm, No. 123. The total moment comes out at 3.2 μB per formula unit. As for the raw total energy: -4.93 eV per atom.

The following is a PBE calculation of a relaxed Li2CrP crystal, from Alexandria via LeMat-Bulk.

Lattice parameters (Å, degrees): 2.897 3.988 4.996 90.00 90.00 90.00
Site moments in Bohr magnetons follow the coordinates.
Atoms (fractional coordinates):
Cr1 0.500 0.500 0.750  3.39
Li1 0.000 0.000 0.021  0.01
Li2 0.000 0.000 0.479  0.01
P1 0.500 0.500 0.250  -0.04

## Properties
For the energy of formation, the calculation gives 0.8 kJ/mol of atoms. Its space group is Pmmm, No. 47. The total moment comes out at 3.8 μB per formula unit. As for the raw total energy: -4.71 eV per atom.

The following is a PBE calculation of a relaxed LiCrP2 crystal, from Alexandria via LeMat-Bulk.

Lattice parameters (Å, degrees): 5.700 5.700 6.522 64.09 64.09 90.00
Site moments in Bohr magnetons follow the coordinates.
Atoms (fractional coordinates):
Cr1 0.000 0.000 0.000  1.46
Cr2 0.750 0.250 0.500  1.46
Li1 0.500 0.500 0.000  -0.01
Li2 0.250 0.750 0.500  -0.01
P1 0.682 0.125 0.250  -0.15
P2 0.068 0.625 0.250  -0.15
P3 0.375 0.318 0.750  -0.15
P4 0.875 0.932 0.750  -0.15

## Properties
For the energy of formation, the calculation gives -0.3 kJ/mol of atoms. Its space group is I-42d, No. 122. As for the excess energy over the best structure of this formula in the dataset: 379.5 meV/atom. The total moment comes out at 1.0 μB per formula unit. As for the raw total energy: -5.59 eV per atom.